(1)
! Pm4Cu2Br5 (PBE, optimized geometry); values from VASP
&SYSTEM
  ibrav = 0, nat = 11, ntyp = 3
/
ATOMIC_SPECIES
Br 79.90 Br.upf
Cu 63.55 Cu.upf
Pm 145.00 Pm.upf
CELL_PARAMETERS angstrom
-0.002 1.930 3.401
4.342 -6.207 3.524
10.497 3.811 -4.405
ATOMIC_POSITIONS crystal
Br 0.218 0.320 0.437
Br 0.500 0.000 0.000
Cu 0.550 0.466 0.101
Pm 0.339 0.457 0.677
Pm 0.019 0.708 0.037
Br 0.142 0.805 0.285
Cu 0.450 0.534 0.899
Br 0.858 0.195 0.715
Br 0.782 0.680 0.563
Pm 0.661 0.543 0.323
Pm 0.981 0.292 0.963
! Calculated total energy = -4.3207 eV/atom
! Calculated volume = 386.1 Å³/cell
! Calculated density = 4.76 Mg/m³
! Uncorrected formation energy = -1.088 eV/atom
! ΔE to the lowest computed polymorph = 0 meV/atom

---

(2)
! Pm7CuBr12 (PBE, optimized geometry); values from VASP
&SYSTEM
  ibrav = 0, nat = 20, ntyp = 3
/
ATOMIC_SPECIES
Br 79.90 Br.upf
Pm 145.00 Pm.upf
Cu 63.55 Cu.upf
CELL_PARAMETERS angstrom
8.986 -0.240 -2.767
-3.682 8.200 -2.767
-0.160 -0.240 9.401
ATOMIC_POSITIONS crystal
Br 0.223 0.076 0.689
Pm 0.500 0.500 0.500
Br 0.076 0.689 0.223
Br 0.606 0.522 0.840
Pm 0.884 0.961 0.674
Pm 0.674 0.884 0.961
Br 0.924 0.311 0.777
Pm 0.116 0.039 0.326
Br 0.840 0.606 0.522
Br 0.311 0.777 0.924
Br 0.522 0.840 0.606
Br 0.689 0.223 0.076
Br 0.478 0.160 0.394
Pm 0.039 0.326 0.116
Br 0.160 0.394 0.478
Br 0.394 0.478 0.160
Cu 0.000 0.000 0.000
Pm 0.961 0.674 0.884
Br 0.777 0.924 0.311
Pm 0.326 0.116 0.039
! Calculated total energy = -4.4154 eV/atom
! Calculated volume = 672.2 Å³/cell
! Calculated density = 5.03 Mg/m³
! Uncorrected formation energy = -1.544 eV/atom

---

(3)
! PmCu2Br6 (PBE, optimized geometry); values from VASP
&SYSTEM
  ibrav = 0, nat = 18, ntyp = 3
/
ATOMIC_SPECIES
Br 79.90 Br.upf
Cu 63.55 Cu.upf
Pm 145.00 Pm.upf
CELL_PARAMETERS angstrom
0.510 -5.214 4.851
-3.729 -8.519 -4.014
8.673 -5.002 -1.537
ATOMIC_POSITIONS crystal
Br 0.159 0.124 0.644
Br 0.037 0.456 0.324
Br 0.963 0.544 0.676
Cu 0.340 0.479 0.654
Br 0.463 0.676 0.544
Cu 0.660 0.521 0.346
Br 0.341 0.356 0.876
Br 0.180 0.818 0.942
Cu 0.160 0.346 0.521
Br 0.680 0.942 0.818
Br 0.841 0.876 0.356
Pm 0.250 0.093 0.907
Br 0.537 0.324 0.456
Br 0.659 0.644 0.124
Br 0.320 0.058 0.182
Pm 0.750 0.907 0.093
Cu 0.840 0.654 0.479
Br 0.820 0.182 0.058
! Calculated total energy = -3.5315 eV/atom
! Calculated volume = 656.8 Å³/cell
! Calculated density = 3.80 Mg/m³
! Uncorrected formation energy = -0.978 eV/atom
! ΔE to the lowest computed polymorph = 0 meV/atom

---

(4)
! PmCuBr (PBE, optimized geometry); values from VASP
&SYSTEM
  ibrav = 0, nat = 6, ntyp = 3
/
ATOMIC_SPECIES
Cu 63.55 Cu.upf
Br 79.90 Br.upf
Pm 145.00 Pm.upf
CELL_PARAMETERS angstrom
4.130 -0.019 -0.111
2.047 3.587 -0.111
0.033 0.019 11.358
ATOMIC_POSITIONS crystal
Cu 0.333 0.333 0.499
Cu 0.667 0.667 0.501
Br 0.320 0.320 0.838
Br 0.680 0.680 0.162
Pm 0.020 0.020 0.330
Pm 0.980 0.980 0.670
! Calculated total energy = -4.4726 eV/atom
! Calculated volume = 168.8 Å³/cell
! Calculated density = 5.68 Mg/m³
! Uncorrected formation energy = -0.966 eV/atom
! ΔE to the lowest computed polymorph = 0 meV/atom

---

(5)
! Pm2CuBr (PBE, optimized geometry); values from VASP
&SYSTEM
  ibrav = 0, nat = 4, ntyp = 3
/
ATOMIC_SPECIES
Br 79.90 Br.upf
Cu 63.55 Cu.upf
Pm 145.00 Pm.upf
CELL_PARAMETERS angstrom
4.056 0.000 0.000
2.028 3.513 0.000
2.028 1.171 7.713
ATOMIC_POSITIONS crystal
Br 0.499 0.499 0.503
Cu 0.667 0.667 0.998
Pm 0.263 0.263 0.211
Pm 0.071 0.071 0.788
! Calculated total energy = -4.4417 eV/atom
! Calculated volume = 109.9 Å³/cell
! Calculated density = 6.55 Mg/m³
! Uncorrected formation energy = -0.624 eV/atom
! ΔE to the lowest computed polymorph = 21 meV/atom

---

(6)
! Pm4CuBr5 (PBE, optimized geometry); values from VASP
&SYSTEM
  ibrav = 0, nat = 10, ntyp = 3
/
ATOMIC_SPECIES
Br 79.90 Br.upf
Cu 63.55 Cu.upf
Pm 145.00 Pm.upf
CELL_PARAMETERS angstrom
-1.578 -0.586 3.673
2.445 -8.349 -0.281
8.146 4.411 1.981
ATOMIC_POSITIONS crystal
Br 0.167 0.334 0.335
Cu 0.500 0.000 0.000
Pm 0.999 0.776 0.998
Br 0.500 0.500 0.000
Pm 0.001 0.224 0.002
Pm 0.345 0.922 0.690
Pm 0.655 0.078 0.310
Br 0.172 0.826 0.344
Br 0.833 0.666 0.665
Br 0.828 0.174 0.656
! Calculated total energy = -4.4566 eV/atom
! Calculated volume = 317.7 Å³/cell
! Calculated density = 5.45 Mg/m³
! Uncorrected formation energy = -1.310 eV/atom

---

(7)
! PmCuBr4 (PBE, optimized geometry); values from VASP
&SYSTEM
  ibrav = 0, nat = 12, ntyp = 3
/
ATOMIC_SPECIES
Br 79.90 Br.upf
Cu 63.55 Cu.upf
Pm 145.00 Pm.upf
CELL_PARAMETERS angstrom
6.900 -0.348 -0.364
2.008 6.611 -0.364
0.310 0.218 8.159
ATOMIC_POSITIONS crystal
Br 0.791 0.791 0.249
Cu 0.135 0.865 0.250
Br 0.209 0.209 0.751
Pm 0.500 0.000 0.500
Br 0.290 0.721 0.999
Br 0.791 0.791 0.749
Br 0.710 0.279 0.001
Br 0.279 0.710 0.501
Cu 0.865 0.135 0.750
Pm 0.000 0.500 0.000
Br 0.209 0.209 0.251
Br 0.721 0.290 0.499
! Calculated total energy = -3.8392 eV/atom
! Calculated volume = 379.0 Å³/cell
! Calculated density = 4.63 Mg/m³
! Uncorrected formation energy = -1.250 eV/atom
! ΔE to the lowest computed polymorph = 25 meV/atom

---

(8)
! Pm4Cu2Br5 (PBE, optimized geometry); values from VASP
&SYSTEM
  ibrav = 0, nat = 11, ntyp = 3
/
ATOMIC_SPECIES
Br 79.90 Br.upf
Pm 145.00 Pm.upf
Cu 63.55 Cu.upf
CELL_PARAMETERS angstrom
-3.482 -0.842 1.602
-3.227 -1.297 -7.693
6.791 -11.766 3.767
ATOMIC_POSITIONS crystal
Br 0.500 0.000 0.000
Br 0.174 0.441 0.349
Br 0.826 0.093 0.651
Pm 0.000 0.290 0.000
Br 0.174 0.907 0.349
Br 0.826 0.559 0.651
Pm 0.355 0.355 0.709
Cu 0.545 0.545 0.090
Pm 0.645 0.645 0.291
Pm 0.000 0.710 0.000
Cu 0.455 0.455 0.910
! Calculated total energy = -4.2546 eV/atom
! Calculated volume = 440.9 Å³/cell
! Calculated density = 4.17 Mg/m³
! Uncorrected formation energy = -1.022 eV/atom
! ΔE to the lowest computed polymorph = 66 meV/atom

---

(9)
! PmCu2Br6 (PBE, optimized geometry); values from VASP
&SYSTEM
  ibrav = 0, nat = 18, ntyp = 3
/
ATOMIC_SPECIES
Cu 63.55 Cu.upf
Br 79.90 Br.upf
Pm 145.00 Pm.upf
CELL_PARAMETERS angstrom
6.909 -0.328 -0.318
1.594 9.534 0.604
1.594 0.912 9.510
ATOMIC_POSITIONS crystal
Cu 0.727 0.693 0.551
Br 0.628 0.616 0.131
Br 0.120 0.820 0.957
Pm 0.750 0.896 0.104
Cu 0.773 0.449 0.307
Br 0.372 0.384 0.869
Br 0.113 0.468 0.283
Br 0.380 0.043 0.180
Cu 0.273 0.307 0.449
Br 0.387 0.717 0.532
Br 0.872 0.869 0.384
Br 0.880 0.180 0.043
Br 0.620 0.957 0.820
Br 0.887 0.532 0.717
Br 0.128 0.131 0.616
Cu 0.227 0.551 0.693
Br 0.613 0.283 0.468
Pm 0.250 0.104 0.896
! Calculated total energy = -3.5172 eV/atom
! Calculated volume = 631.6 Å³/cell
! Calculated density = 3.95 Mg/m³
! Uncorrected formation energy = -0.964 eV/atom
! ΔE to the lowest computed polymorph = 14 meV/atom

---

(10)
! RbPmCuBr5 (PBE, optimized geometry); values from VASP
&SYSTEM
  ibrav = 0, nat = 16, ntyp = 4
/
ATOMIC_SPECIES
Pm 145.00 Pm.upf
Br 79.90 Br.upf
Cu 63.55 Cu.upf
Rb 85.47 Rb.upf
CELL_PARAMETERS angstrom
-4.168 -4.743 4.748
6.226 2.417 4.219
-6.114 8.815 -0.805
ATOMIC_POSITIONS crystal
Pm 0.000 0.000 0.000
Br 0.917 0.083 0.750
Cu 0.691 0.309 0.250
Br 0.083 0.917 0.250
Br 0.316 0.905 0.616
Rb 0.355 0.645 0.250
Br 0.763 0.615 0.426
Cu 0.309 0.691 0.750
Br 0.684 0.095 0.384
Br 0.905 0.316 0.116
Br 0.615 0.763 0.926
Br 0.237 0.385 0.574
Br 0.385 0.237 0.074
Pm 0.000 0.000 0.500
Rb 0.645 0.355 0.750
Br 0.095 0.684 0.884
! Calculated total energy = -3.7070 eV/atom
! Calculated volume = 592.4 Å³/cell
! Calculated density = 3.89 Mg/m³
! Uncorrected formation energy = -1.435 eV/atom

---

(11)
! RbPm2CuBr8 (PBE, optimized geometry); values from VASP
&SYSTEM
  ibrav = 0, nat = 12, ntyp = 4
/
ATOMIC_SPECIES
Br 79.90 Br.upf
Cu 63.55 Cu.upf
Pm 145.00 Pm.upf
Rb 85.47 Rb.upf
CELL_PARAMETERS angstrom
7.434 1.983 0.295
2.075 8.706 -0.607
0.363 -0.808 8.681
ATOMIC_POSITIONS crystal
Br 0.503 0.716 0.064
Br 0.915 0.377 0.718
Br 0.085 0.623 0.282
Cu 0.000 0.000 0.000
Br 0.066 0.773 0.809
Br 0.497 0.284 0.936
Br 0.488 0.291 0.499
Pm 0.492 0.469 0.241
Br 0.934 0.227 0.191
Pm 0.508 0.531 0.759
Rb 0.000 0.000 0.500
Br 0.512 0.709 0.501
! Calculated total energy = -3.8821 eV/atom
! Calculated volume = 520.7 Å³/cell
! Calculated density = 3.44 Mg/m³
! Uncorrected formation energy = -1.553 eV/atom

---

(12)
! Pm6CuRh2Br3 (PBE, optimized geometry); values from VASP
&SYSTEM
  ibrav = 0, nat = 12, ntyp = 4
/
ATOMIC_SPECIES
Pm 145.00 Pm.upf
Cu 63.55 Cu.upf
Br 79.90 Br.upf
Rh 102.91 Rh.upf
CELL_PARAMETERS angstrom
7.141 0.000 0.000
-3.569 6.185 0.000
-1.192 -2.063 7.750
ATOMIC_POSITIONS crystal
Pm 0.406 0.066 0.197
Pm 0.725 0.725 0.197
Pm 0.066 0.406 0.197
Pm 0.934 0.594 0.803
Pm 0.594 0.934 0.803
Cu 0.000 0.000 0.000
Br 0.500 0.500 0.500
Rh 0.333 0.667 0.000
Pm 0.275 0.275 0.803
Br 0.167 0.833 0.500
Br 0.833 0.167 0.500
Rh 0.667 0.333 0.000
! Calculated total energy = -5.2979 eV/atom
! Calculated volume = 342.3 Å³/cell
! Calculated density = 6.69 Mg/m³
! Uncorrected formation energy = -0.938 eV/atom

---

(13)
! Pm6CuRu2Br3 (PBE, optimized geometry); values from VASP
&SYSTEM
  ibrav = 0, nat = 12, ntyp = 4
/
ATOMIC_SPECIES
Ru 101.07 Ru.upf
Pm 145.00 Pm.upf
Br 79.90 Br.upf
Cu 63.55 Cu.upf
CELL_PARAMETERS angstrom
7.071 0.000 0.001
-3.534 6.124 0.001
-1.179 -2.042 7.834
ATOMIC_POSITIONS crystal
Ru 0.333 0.667 0.000
Ru 0.667 0.333 0.000
Pm 0.719 0.719 0.197
Pm 0.281 0.281 0.803
Br 0.500 0.500 0.500
Br 0.168 0.832 0.500
Pm 0.934 0.587 0.803
Pm 0.413 0.066 0.197
Pm 0.066 0.413 0.197
Cu 0.000 0.000 0.000
Br 0.832 0.168 0.500
Pm 0.587 0.934 0.803
! Calculated total energy = -5.4766 eV/atom
! Calculated volume = 339.2 Å³/cell
! Calculated density = 6.73 Mg/m³
! Uncorrected formation energy = -0.796 eV/atom

---

(14)
! Pm4CuSe2Br (PBE, optimized geometry); values from VASP
&SYSTEM
  ibrav = 0, nat = 8, ntyp = 4
/
ATOMIC_SPECIES
Br 79.90 Br.upf
Pm 145.00 Pm.upf
Se 78.96 Se.upf
Cu 63.55 Cu.upf
CELL_PARAMETERS angstrom
4.065 0.000 0.000
0.000 7.348 -0.248
0.000 2.494 6.964
ATOMIC_POSITIONS crystal
Br 0.500 0.500 0.000
Pm 0.500 0.259 0.734
Pm 0.000 0.761 0.730
Se 0.500 0.000 0.500
Cu 0.000 0.500 0.500
Pm 0.000 0.239 0.270
Pm 0.500 0.741 0.266
Se 0.000 0.000 0.000
! Calculated total energy = -5.2155 eV/atom
! Calculated volume = 210.5 Å³/cell
! Calculated density = 6.95 Mg/m³
! Uncorrected formation energy = -1.248 eV/atom

---

(15)
! Pm4CuSiBr2 (PBE, optimized geometry); values from VASP
&SYSTEM
  ibrav = 0, nat = 8, ntyp = 4
/
ATOMIC_SPECIES
Cu 63.55 Cu.upf
Pm 145.00 Pm.upf
Br 79.90 Br.upf
Si 28.09 Si.upf
CELL_PARAMETERS angstrom
-2.525 -0.093 -3.274
2.107 -6.933 -1.428
-5.992 -0.337 4.631
ATOMIC_POSITIONS crystal
Cu 0.000 0.000 0.000
Pm 0.000 0.264 0.782
Br 0.500 0.000 0.500
Si 0.500 0.500 0.000
Pm 0.500 0.768 0.787
Br 0.000 0.500 0.500
Pm 0.500 0.232 0.213
Pm 0.000 0.736 0.218
! Calculated total energy = -4.8252 eV/atom
! Calculated volume = 220.8 Å³/cell
! Calculated density = 6.25 Mg/m³
! Uncorrected formation energy = -0.842 eV/atom

---

(16)
! PmTl2CuBr6 (PBE, optimized geometry); values from VASP
&SYSTEM
  ibrav = 0, nat = 10, ntyp = 4
/
ATOMIC_SPECIES
Br 79.90 Br.upf
Pm 145.00 Pm.upf
Cu 63.55 Cu.upf
Tl 204.38 Tl.upf
CELL_PARAMETERS angstrom
-5.504 -3.745 2.002
4.097 -6.341 -0.599
2.157 5.353 5.963
ATOMIC_POSITIONS crystal
Br 0.784 0.302 0.134
Br 0.784 0.832 0.134
Br 0.216 0.698 0.866
Pm 0.000 0.500 0.000
Br 0.700 0.301 0.603
Cu 0.500 0.000 0.000
Br 0.300 0.699 0.397
Tl 0.807 0.756 0.512
Br 0.216 0.168 0.866
Tl 0.193 0.244 0.488
! Calculated total energy = -3.4525 eV/atom
! Calculated volume = 358.1 Å³/cell
! Calculated density = 5.09 Mg/m³
! Uncorrected formation energy = -1.091 eV/atom

---

(17)
! PrCuBr2 (PBE, optimized geometry); values from VASP
&SYSTEM
  ibrav = 0, nat = 4, ntyp = 3
/
ATOMIC_SPECIES
Cu 63.55 Cu.upf
Br 79.90 Br.upf
Pr 140.91 Pr.upf
CELL_PARAMETERS angstrom
3.897 0.000 0.000
1.949 3.375 0.000
1.949 1.125 8.737
ATOMIC_POSITIONS crystal
Cu 0.500 0.500 0.500
Br 0.889 0.889 0.334
Pr 0.000 0.000 0.000
Br 0.111 0.111 0.666
! Calculated total energy = -3.5423 eV/atom
! Calculated volume = 114.9 Å³/cell
! Calculated density = 5.26 Mg/m³
! Uncorrected formation energy = -0.487 eV/atom

---

(18)
! Pr4Cu2Br3 (PBE, optimized geometry); values from VASP
&SYSTEM
  ibrav = 0, nat = 9, ntyp = 3
/
ATOMIC_SPECIES
Pr 140.91 Pr.upf
Br 79.90 Br.upf
Cu 63.55 Cu.upf
CELL_PARAMETERS angstrom
4.176 0.000 0.005
-2.088 3.616 -0.005
-0.002 0.001 18.633
ATOMIC_POSITIONS crystal
Pr 0.666 0.334 0.115
Br 0.666 0.334 0.398
Pr 0.334 0.666 0.885
Pr 0.999 0.001 0.296
Cu 0.333 0.667 0.202
Br 0.000 0.000 0.000
Pr 0.001 0.999 0.704
Cu 0.667 0.333 0.798
Br 0.334 0.666 0.602
! Calculated total energy = -4.4456 eV/atom
! Calculated volume = 281.3 Å³/cell
! Calculated density = 5.49 Mg/m³
! Uncorrected formation energy = -0.854 eV/atom

---

(19)
! Pr3CuBr3 (PBE, optimized geometry); values from VASP
&SYSTEM
  ibrav = 0, nat = 28, ntyp = 3
/
ATOMIC_SPECIES
Br 79.90 Br.upf
Pr 140.91 Pr.upf
Cu 63.55 Cu.upf
CELL_PARAMETERS angstrom
9.837 0.000 -3.478
-4.919 8.519 -3.478
0.000 0.000 10.434
ATOMIC_POSITIONS crystal
Br 0.750 0.758 0.742
Pr 0.511 0.022 0.261
Pr 0.978 0.489 0.239
Cu 0.000 0.000 0.250
Br 0.485 0.742 0.992
Pr 0.761 0.750 0.239
Br 0.258 0.742 0.250
Br 0.750 0.992 0.508
Br 0.015 0.508 0.758
Pr 0.522 0.261 0.011
Br 0.492 0.985 0.742
Br 0.242 0.250 0.758
Cu 0.750 0.250 0.250
Pr 0.250 0.239 0.261
Br 0.242 0.992 0.985
Br 0.492 0.508 0.250
Br 0.008 0.758 0.515
Br 0.258 0.515 0.508
Pr 0.761 0.011 0.022
Pr 0.989 0.750 0.011
Pr 0.511 0.489 0.750
Pr 0.989 0.239 0.478
Pr 0.250 0.011 0.489
Cu 0.750 0.500 0.000
Br 0.008 0.250 0.992
Pr 0.739 0.261 0.750
Cu 0.500 0.250 0.500
Pr 0.739 0.478 0.489
! Calculated total energy = -4.4968 eV/atom
! Calculated volume = 874.5 Å³/cell
! Calculated density = 5.51 Mg/m³
! Uncorrected formation energy = -1.146 eV/atom

---

(20)
! PrCuBr (PBE, optimized geometry); values from VASP
&SYSTEM
  ibrav = 0, nat = 6, ntyp = 3
/
ATOMIC_SPECIES
Br 79.90 Br.upf
Pr 140.91 Pr.upf
Cu 63.55 Cu.upf
CELL_PARAMETERS angstrom
-1.179 1.060 3.760
-1.516 -2.819 2.533
11.115 -0.719 5.903
ATOMIC_POSITIONS crystal
Br 0.769 0.613 0.849
Pr 0.794 0.105 0.308
Br 0.231 0.387 0.151
Cu 0.635 0.182 0.547
Pr 0.206 0.895 0.692
Cu 0.365 0.818 0.453
! Calculated total energy = -4.3121 eV/atom
! Calculated volume = 178.7 Å³/cell
! Calculated density = 5.29 Mg/m³
! Uncorrected formation energy = -0.796 eV/atom

---

(21)
! Pr4CuPtBr2 (PBE, optimized geometry); values from VASP
&SYSTEM
  ibrav = 0, nat = 8, ntyp = 4
/
ATOMIC_SPECIES
Cu 63.55 Cu.upf
Pr 140.91 Pr.upf
Br 79.90 Br.upf
Pt 195.08 Pt.upf
CELL_PARAMETERS angstrom
-4.251 0.357 -0.198
-0.686 -5.714 4.415
0.342 6.640 4.600
ATOMIC_POSITIONS crystal
Cu 0.000 0.000 0.000
Pr 0.000 0.261 0.795
Pr 0.000 0.739 0.205
Pr 0.500 0.758 0.794
Pr 0.500 0.242 0.206
Br 0.500 0.000 0.500
Pt 0.500 0.500 0.000
Br 0.000 0.500 0.500
! Calculated total energy = -5.0043 eV/atom
! Calculated volume = 238.5 Å³/cell
! Calculated density = 6.84 Mg/m³
! Uncorrected formation energy = -0.929 eV/atom